No. 1
GaFe3I, relaxed, DFT GGA-PBEsol; crystal system = cubic; final energy = -0.3629 Ry per atom; space-group type = No. 221; formation energy (no corrections) = 1.4619 eV per atom
1.0
-0.607 -2.970 -3.459
3.543 1.889 -2.244
2.869 -2.961 2.039
Fe I Ga
3 1 1
direct
0.000 0.500 0.000 Fe
0.500 0.000 0.000 Fe
0.000 0.000 0.500 Fe
0.000 0.000 0.000 I
0.500 0.500 0.500 Ga

No. 2
TlAs2Os, relaxed, DFT GGA-PBEsol; crystal system = orthorhombic; final energy = -0.4493 Ry per atom; space-group type = No. 44; ΔE_f = 152 meV/atom
1.0
3.037 0.000 0.000
0.000 3.053 0.000
-1.519 -1.526 8.735
As Tl Os
2 1 1
direct
0.026 0.026 0.051 As
0.837 0.337 0.673 As
0.189 0.689 0.378 Tl
0.449 0.449 0.897 Os

No. 3
CaSc2Ir, relaxed, DFT GGA-PBEsol; crystal system = orthorhombic; final energy = -0.4890 Ry per atom; space-group type = No. 71; ΔE_f = -362 meV/atom
1.0
-0.152 -2.712 -2.190
1.805 -3.150 3.776
-5.407 2.028 0.644
Ir Ca Sc
1 1 2
direct
0.000 0.500 0.000 Ir
0.500 0.000 0.000 Ca
0.304 0.304 0.608 Sc
0.696 0.696 0.392 Sc

No. 4
TaAs2Cl, relaxed, DFT GGA-PBEsol; crystal system = tetragonal; final energy = -0.4298 Ry per atom; space-group type = No. 123; formation energy (no corrections) = 0.3448 eV per atom
1.0
2.831 0.000 0.000
0.000 4.953 0.000
0.000 0.000 4.953
Ta As Cl
1 2 1
direct
0.500 0.000 0.000 Ta
0.000 0.500 0.000 As
0.000 0.000 0.500 As
0.500 0.500 0.500 Cl

No. 5
La2MgHg, relaxed, DFT GGA-PBEsol; crystal system = tetragonal; final energy = -0.2619 Ry per atom; space-group type = No. 123; ΔE_f = -320 meV/atom
1.0
-0.385 -1.868 -3.407
-0.011 -3.423 1.878
-7.559 0.378 0.647
La Mg Hg
2 1 1
direct
0.000 0.000 0.258 La
0.000 0.000 0.742 La
0.500 0.500 0.000 Mg
0.500 0.500 0.500 Hg

No. 6
Sr3CuPtO6, relaxed, DFT GGA-PBEsol; crystal system = monoclinic; final energy = -0.4628 Ry per atom; space-group type = No. 15; formation energy (no corrections) = -1.9039 eV per atom
1.0
6.651 0.001 0.001
-0.093 6.717 0.005
-0.093 -0.245 6.713
O Sr Pt Cu
12 6 2 2
direct
0.572 0.782 0.925 O
0.537 0.394 0.717 O
0.428 0.218 0.075 O
0.072 0.925 0.782 O
0.785 0.476 0.105 O
0.215 0.524 0.895 O
0.715 0.895 0.524 O
0.463 0.606 0.283 O
0.928 0.075 0.218 O
0.963 0.283 0.606 O
0.285 0.105 0.476 O
0.037 0.717 0.394 O
0.378 0.759 0.611 Sr
0.878 0.611 0.759 Sr
0.122 0.389 0.241 Sr
0.750 0.100 0.900 Sr
0.250 0.900 0.100 Sr
0.622 0.241 0.389 Sr
0.500 0.500 0.000 Pt
0.000 0.000 0.500 Pt
0.250 0.306 0.694 Cu
0.750 0.694 0.306 Cu

No. 7
Be3CrRe, relaxed, DFT GGA-PBEsol; crystal system = cubic; final energy = -0.4333 Ry per atom; space-group type = No. 221; ΔE_f = 1219 meV/atom
1.0
4.157 0.000 0.000
0.000 4.157 0.000
0.000 0.000 4.157
Be Re Cr
3 1 1
direct
0.000 0.500 0.000 Be
0.500 0.000 0.000 Be
0.000 0.000 0.500 Be
0.000 0.000 0.000 Re
0.500 0.500 0.500 Cr

No. 8
KInAu2, relaxed, DFT GGA-PBEsol; crystal system = monoclinic; final energy = -0.2346 Ry per atom; space-group type = No. 8; ΔE_f = -201 meV/atom
1.0
-1.956 -0.304 -4.289
-1.903 -2.359 3.636
-1.505 6.249 0.244
Au K In
2 1 1
direct
0.062 0.124 0.185 Au
0.745 0.490 0.234 Au
0.251 0.502 0.755 K
0.442 0.884 0.326 In

No. 9
KCdSn3, relaxed, DFT GGA-PBEsol; crystal system = cubic; final energy = -0.1353 Ry per atom; space-group type = No. 221; ΔE_f = 1181 meV/atom
1.0
-3.677 -4.423 -0.675
4.021 -3.650 2.011
-1.962 0.808 5.388
Cd K Sn
1 1 3
direct
0.500 0.500 0.500 Cd
0.000 0.000 0.000 K
0.500 0.000 0.000 Sn
0.000 0.000 0.500 Sn
0.000 0.500 0.000 Sn

No. 10
TlRh2Au, relaxed, DFT GGA-PBEsol; crystal system = cubic; final energy = -0.3980 Ry per atom; space-group type = No. 216; ΔE_f = 293 meV/atom
1.0
4.522 0.000 0.000
2.261 3.916 0.000
2.261 1.305 3.692
Tl Rh Au
1 2 1
direct
0.250 0.250 0.250 Tl
0.750 0.750 0.750 Rh
0.000 0.000 0.000 Rh
0.500 0.500 0.500 Au

No. 11
MgSc2InSi, relaxed, DFT GGA-PBEsol; crystal system = tetragonal; final energy = -0.3061 Ry per atom; space-group type = No. 123; formation energy (no corrections) = 0.5661 eV per atom
1.0
-1.148 1.591 -4.554
-4.986 0.674 1.493
1.098 4.925 1.444
In Sc Si Mg
1 2 1 1
direct
0.000 0.000 0.000 In
0.000 0.000 0.500 Sc
0.000 0.500 0.000 Sc
0.500 0.500 0.500 Si
0.500 0.000 0.000 Mg

No. 12
LaInPt, relaxed, DFT GGA-PBEsol; crystal system = hexagonal; final energy = -0.4466 Ry per atom; space-group type = No. 189; ΔE_f = -979 meV/atom
1.0
4.161 0.000 0.000
0.000 7.594 0.000
0.000 -3.797 6.576
La Pt In
3 3 3
direct
0.500 0.000 0.586 La
0.500 0.586 0.000 La
0.500 0.414 0.414 La
0.000 0.333 0.667 Pt
0.500 0.000 0.000 Pt
0.000 0.667 0.333 Pt
0.000 0.000 0.246 In
0.000 0.246 0.000 In
0.000 0.754 0.754 In

No. 13
MnRe3, relaxed, DFT GGA-PBEsol; crystal system = hexagonal; final energy = -0.9076 Ry per atom; space-group type = No. 187; ΔE_f = 90 meV/atom
1.0
2.711 0.000 0.000
-1.356 2.348 0.000
0.000 0.000 8.620
Re Mn
3 1
direct
0.667 0.333 0.762 Re
0.667 0.333 0.238 Re
0.000 0.000 0.500 Re
0.000 0.000 0.000 Mn

No. 14
LaBi2Rh, relaxed, DFT GGA-PBEsol; crystal system = cubic; final energy = -0.4228 Ry per atom; space-group type = No. 225; ΔE_f = -239 meV/atom
1.0
5.183 0.000 0.000
2.591 4.489 0.000
2.591 1.496 4.232
Rh Bi La
1 2 1
direct
0.000 0.000 0.000 Rh
0.250 0.250 0.250 Bi
0.750 0.750 0.750 Bi
0.500 0.500 0.500 La

No. 15
HfB2RhC, relaxed, DFT GGA-PBEsol; crystal system = tetragonal; final energy = -0.5688 Ry per atom; space-group type = No. 123; ΔE_f = 725 meV/atom
1.0
-1.483 -0.310 3.236
-1.169 -3.268 -0.849
3.635 -1.692 1.504
Hf B C Rh
1 2 1 1
direct
0.000 0.000 0.500 Hf
0.000 0.500 0.000 B
0.500 0.000 0.000 B
0.000 0.000 0.000 C
0.500 0.500 0.500 Rh

No. 16
Na2Ga2P, relaxed, DFT GGA-PBEsol; crystal system = tetragonal; final energy = -0.2059 Ry per atom; space-group type = No. 139; ΔE_f = 253 meV/atom
1.0
3.860 0.000 0.000
0.000 3.860 0.000
-1.930 -1.930 6.871
P Ga Na
1 2 2
direct
0.000 0.000 0.000 P
0.586 0.586 0.173 Ga
0.414 0.414 0.827 Ga
0.250 0.750 0.500 Na
0.750 0.250 0.500 Na

No. 17
RbCrH2, relaxed, DFT GGA-PBEsol; crystal system = tetragonal; final energy = -0.3069 Ry per atom; space-group type = No. 122
1.0
5.692 0.014 0.020
-2.731 4.993 -0.020
-2.731 -1.764 4.671
Rb H Cr
2 4 2
direct
0.500 0.750 0.250 Rb
0.000 0.000 0.000 Rb
0.644 0.269 0.125 H
0.856 0.375 0.731 H
0.144 0.875 0.519 H
0.356 0.481 0.625 H
0.500 0.250 0.750 Cr
0.000 0.500 0.500 Cr

No. 18
MnTePb2, relaxed, DFT GGA-PBEsol; crystal system = tetragonal; final energy = -0.3647 Ry per atom; space-group type = No. 123; formation energy (no corrections) = 0.3590 eV per atom
1.0
-1.417 3.590 -0.566
-2.176 -1.325 -2.954
-4.980 -1.295 4.251
Mn Te Pb
1 1 2
direct
0.500 0.500 0.500 Mn
0.500 0.500 0.000 Te
0.000 0.000 0.271 Pb
0.000 0.000 0.729 Pb

No. 19
SrLi2TlCl, relaxed, DFT GGA-PBEsol; crystal system = tetragonal; final energy = -0.1559 Ry per atom; space-group type = No. 123; formation energy (no corrections) = -0.0394 eV per atom
1.0
5.287 0.000 0.000
0.000 6.435 0.000
0.000 0.000 6.435
Tl Sr Li Cl
1 1 2 1
direct
0.500 0.500 0.500 Tl
0.000 0.000 0.000 Sr
0.000 0.000 0.500 Li
0.000 0.500 0.000 Li
0.500 0.000 0.000 Cl

No. 20
Cs, relaxed, DFT GGA-PBEsol; crystal system = orthorhombic; final energy = -0.0692 Ry per atom; space-group type = No. 62; ΔE_f = 0 meV/atom
1.0
5.297 0.000 0.000
0.000 7.644 0.000
0.000 0.000 10.648
Cs
4
direct
0.240 0.750 0.625 Cs
0.260 0.750 0.125 Cs
0.740 0.250 0.875 Cs
0.760 0.250 0.375 Cs